{
  "formula": "Mg30CrCdO32",
  "functional": "PBE with a Hubbard U",
  "state": "optimized geometry",
  "lattice": [[8.560, 0.000, 0.000], [0.000, 8.560, 0.000], [0.000, 0.000, 8.559]],
  "species": ["Mg", "Mg", "Mg", "Mg", "Mg", "Mg", "Mg", "Mg", "Mg", "Mg", "Mg", "Mg", "Mg", "Mg", "Mg", "Mg", "Mg", "Mg", "Mg", "Mg", "Mg", "Mg", "Mg", "Mg", "Mg", "Mg", "Mg", "Mg", "Mg", "Mg", "Cr", "Cd", "O", "O", "O", "O", "O", "O", "O", "O", "O", "O", "O", "O", "O", "O", "O", "O", "O", "O", "O", "O", "O", "O", "O", "O", "O", "O", "O", "O", "O", "O", "O", "O"],
  "fractional_positions": [[0.000, 0.000, 0.000], [0.000, 0.000, 0.500], [0.000, 0.250, 0.249], [0.000, 0.250, 0.751], [0.000, 0.500, 0.000], [0.000, 0.500, 0.500], [0.000, 0.750, 0.249], [0.000, 0.750, 0.751], [0.247, 0.500, 0.248], [0.247, 0.500, 0.752], [0.248, 0.248, 0.500], [0.248, 0.752, 0.500], [0.250, 0.000, 0.249], [0.250, 0.000, 0.751], [0.251, 0.251, 0.000], [0.251, 0.749, 0.000], [0.500, 0.000, 0.000], [0.500, 0.000, 0.500], [0.500, 0.247, 0.248], [0.500, 0.247, 0.752], [0.500, 0.753, 0.248], [0.500, 0.753, 0.752], [0.749, 0.251, 0.000], [0.749, 0.749, 0.000], [0.750, 0.000, 0.249], [0.750, 0.000, 0.751], [0.752, 0.248, 0.500], [0.752, 0.752, 0.500], [0.753, 0.500, 0.248], [0.753, 0.500, 0.752], [0.500, 0.500, 0.000], [0.500, 0.500, 0.500], [0.000, 0.000, 0.250], [0.000, 0.000, 0.750], [0.000, 0.248, 0.500], [0.000, 0.249, 0.000], [0.000, 0.500, 0.249], [0.000, 0.500, 0.751], [0.000, 0.751, 0.000], [0.000, 0.752, 0.500], [0.237, 0.500, 0.500], [0.244, 0.500, 0.000], [0.248, 0.000, 0.500], [0.249, 0.000, 0.000], [0.251, 0.251, 0.250], [0.251, 0.251, 0.750], [0.251, 0.749, 0.250], [0.251, 0.749, 0.750], [0.500, 0.000, 0.249], [0.500, 0.000, 0.751], [0.500, 0.237, 0.500], [0.500, 0.244, 0.000], [0.500, 0.500, 0.237], [0.500, 0.500, 0.763], [0.500, 0.756, 0.000], [0.500, 0.763, 0.500], [0.749, 0.251, 0.250], [0.749, 0.251, 0.750], [0.749, 0.749, 0.250], [0.749, 0.749, 0.750], [0.751, 0.000, 0.000], [0.752, 0.000, 0.500], [0.756, 0.500, 0.000], [0.763, 0.500, 0.500]],
  "spacegroup": "P4/mmm",
  "total_energy_ev_per_atom": -5.9421,
  "vol_a3_per_cell": 627.2
}